[1]
Below is a relaxed Ho2Mg3Cd crystal, with properties calculated at the PBE level.

## Properties
offset from the most stable computed form: 0 meV per atom
energy: -2.613 eV/atom
formation energy from the elements: -0.83 eV per formula unit
crystal system: orthorhombic

CIF file:
```
data_Ho2Mg3Cd
_cell_length_a 6.579
_cell_length_b 10.322
_cell_length_c 17.770
_cell_angle_alpha 90.00
_cell_angle_beta 90.00
_cell_angle_gamma 90.00
_symmetry_space_group_name_H-M 'F m m m'
_symmetry_Int_Tables_number 69
_symmetry_space_group_name_Hall '-F 2 2'
loop_
_atom_site_label
_atom_site_type_symbol
_atom_site_fract_x
_atom_site_fract_y
_atom_site_fract_z
Ho1 Ho 0.249 0.000 0.000
Ho2 Ho 0.250 0.250 0.250
Mg1 Mg 0.000 0.000 0.332
Mg2 Mg 0.000 0.248 0.084
Cd1 Cd 0.000 0.000 0.166
```

---

[2]
Below is a relaxed Zr3TcIr2 crystal, with properties calculated at the PBE level.

## Properties
offset from the most stable computed form: 0 meV per atom
energy: -9.684 eV/atom
formation energy from the elements: -4.37 eV per formula unit
crystal system: orthorhombic

CIF file:
```
data_Zr3TcIr2
_cell_length_a 4.679
_cell_length_b 14.042
_cell_length_c 6.566
_cell_angle_alpha 90.00
_cell_angle_beta 90.00
_cell_angle_gamma 90.00
_symmetry_space_group_name_H-M 'C m m m'
_symmetry_Int_Tables_number 65
_symmetry_space_group_name_Hall '-C 2 2'
loop_
_atom_site_label
_atom_site_type_symbol
_atom_site_fract_x
_atom_site_fract_y
_atom_site_fract_z
Zr1 Zr 0.000 0.000 0.250
Zr2 Zr 0.000 0.333 0.248
Tc1 Tc 0.000 0.166 0.000
Ir1 Ir 0.000 0.166 0.500
Ir2 Ir 0.000 0.500 0.000
Ir3 Ir 0.000 0.500 0.500
```

---

[3]
Below is a relaxed Pr2DyErTe5 crystal, with properties calculated at the PBE level.

## Properties
energy: -4.663 eV/atom
ΔE_f (raw): -727.1 kJ/mol of formula units
crystal system: tetragonal

CIF file:
```
data_Pr2DyErTe5
_cell_length_a 5.506
_cell_length_b 5.506
_cell_length_c 11.547
_cell_angle_alpha 90.00
_cell_angle_beta 90.00
_cell_angle_gamma 90.00
_symmetry_space_group_name_H-M 'P 4/m m m'
_symmetry_Int_Tables_number 123
_symmetry_space_group_name_Hall '-P 4 2'
loop_
_atom_site_label
_atom_site_type_symbol
_atom_site_fract_x
_atom_site_fract_y
_atom_site_fract_z
Pr1 Pr 0.000 0.000 0.168
Dy1 Dy 0.500 0.500 0.500
Er1 Er 0.500 0.500 0.000
Te1 Te 0.000 0.000 0.500
Te2 Te 0.000 0.500 0.000
Te3 Te 0.500 0.500 0.254
```

---

[4]
Below is a relaxed Dy4TmSc2 crystal, with properties calculated at the PBE level.

## Properties
offset from the most stable computed form: 0 meV per atom
energy: -5.058 eV/atom
formation energy from the elements: 0.13 eV per formula unit
crystal system: triclinic

CIF file:
```
data_Dy4TmSc2
_cell_length_a 6.099
_cell_length_b 6.518
_cell_length_c 10.807
_cell_angle_alpha 90.79
_cell_angle_beta 106.39
_cell_angle_gamma 90.02
_symmetry_space_group_name_H-M 'P -1'
_symmetry_Int_Tables_number 2
loop_
_symmetry_equiv_pos_as_xyz
'x,y,z'
'-x,-y,-z'
loop_
_atom_site_label
_atom_site_type_symbol
_atom_site_fract_x
_atom_site_fract_y
_atom_site_fract_z
Dy1 Dy 0.059 0.467 0.285
Dy2 Dy 0.207 0.179 0.570
Dy3 Dy 0.230 0.967 0.282
Dy4 Dy 0.343 0.898 0.857
Tm1 Tm 0.484 0.599 0.141
Sc1 Sc 0.079 0.252 0.999
Sc2 Sc 0.371 0.673 0.571
```

---

[5]
Below is a relaxed BeReRh crystal, with properties calculated at the PBE level.

## Properties
offset from the most stable computed form: 91 meV per atom
energy: -8.030 eV/atom
formation energy from the elements: -0.57 eV per formula unit
crystal system: monoclinic

CIF file:
```
data_BeReRh
_cell_length_a 9.768
_cell_length_b 2.825
_cell_length_c 6.507
_cell_angle_alpha 90.00
_cell_angle_beta 125.37
_cell_angle_gamma 90.00
_symmetry_space_group_name_H-M 'C 1 m 1'
_symmetry_Int_Tables_number 8
loop_
_symmetry_equiv_pos_as_xyz
'x,y,z'
'x,-y,z'
'x+1/2,y+1/2,z'
'x+1/2,-y+1/2,z'
loop_
_atom_site_label
_atom_site_type_symbol
_atom_site_fract_x
_atom_site_fract_y
_atom_site_fract_z
Be1 Be 0.000 0.000 0.000
Be2 Be 0.243 0.000 0.359
Re1 Re 0.219 0.500 0.041
Re2 Re 0.482 0.500 0.613
Rh1 Rh 0.024 0.500 0.301
Rh2 Rh 0.289 0.000 0.747
```

---

[6]
Below is a relaxed K2ScHg crystal, with properties calculated at the PBE level.

## Properties
offset from the most stable computed form: 329 meV per atom
energy: -1.850 eV/atom
formation energy from the elements: 1.43 eV per formula unit
crystal system: orthorhombic

CIF file:
```
data_K2ScHg
_cell_length_a 3.669
_cell_length_b 5.820
_cell_length_c 6.773
_cell_angle_alpha 90.00
_cell_angle_beta 90.00
_cell_angle_gamma 90.00
_symmetry_space_group_name_H-M 'P m m m'
_symmetry_Int_Tables_number 47
loop_
_symmetry_equiv_pos_as_xyz
'x,y,z'
'-x,-y,-z'
'-x,-y,z'
'x,y,-z'
'x,-y,-z'
'-x,y,z'
'-x,y,-z'
'x,-y,z'
loop_
_atom_site_label
_atom_site_type_symbol
_atom_site_fract_x
_atom_site_fract_y
_atom_site_fract_z
K1 K 0.000 0.000 0.238
Sc1 Sc 0.500 0.500 0.500
Hg1 Hg 0.500 0.500 0.000
```

---

What did the first record say?
Below is a relaxed Ho2Mg3Cd crystal, with properties calculated at the PBE level.

## Properties
offset from the most stable computed form: 0 meV per atom
energy: -2.613 eV/atom
formation energy from the elements: -0.83 eV per formula unit
crystal system: orthorhombic

CIF file:
```
data_Ho2Mg3Cd
_cell_length_a 6.579
_cell_length_b 10.322
_cell_length_c 17.770
_cell_angle_alpha 90.00
_cell_angle_beta 90.00
_cell_angle_gamma 90.00
_symmetry_space_group_name_H-M 'F m m m'
_symmetry_Int_Tables_number 69
_symmetry_space_group_name_Hall '-F 2 2'
loop_
_atom_site_label
_atom_site_type_symbol
_atom_site_fract_x
_atom_site_fract_y
_atom_site_fract_z
Ho1 Ho 0.249 0.000 0.000
Ho2 Ho 0.250 0.250 0.250
Mg1 Mg 0.000 0.000 0.332
Mg2 Mg 0.000 0.248 0.084
Cd1 Cd 0.000 0.000 0.166
```

---

What is the formula in the third record?
Pr2DyErTe5